Material: NpBrO
Method: DFT, PBE
State: optimized geometry

Cell: 6.2162 3.3870 11.1548 Å, 90.00 90.00 90.00°
Space group Pnma (No. 62)
Asymmetric unit:
Np1 0.1784 0.2500 0.1909
Br1 0.2454 0.7500 0.9703
O1 0.0540 0.2500 0.7437

Summary:
- Magnetization: 16.00 μB/cell
- Formation energy from raw total energies: -1.9944 eV per atom
- VASP energy: -8.518 eV/atom